Below is a relaxed BeCrNi2Pb crystal, with properties calculated at the PBE level.

The structure in POSCAR format:
```
BeCrNi2Pb
1.0
4.7965 0.0000 0.0000
0.0000 4.7965 0.0000
0.0000 0.0000 4.4556
Be Cr Ni Pb
1 1 2 1
Cartesian
0.0000 0.0000 0.0000
2.3983 2.3983 0.0000
0.0000 2.3983 2.2278
2.3983 0.0000 2.2278
0.0000 0.0000 2.2278
```

Summary:
N(E_F) in states/eV/cell: 3.06
DFT formation energy in meV per atom: 1397.2
Density in g cm⁻³: 6.2
Total moment in Bohr magnetons per cell: 4.0